DFT (PBE) results for a geometry-optimized CrAu2Br structure.

Geometry as POSCAR:
```
CrAu2Br
1.0
7.8980 -0.6096 -0.3572
7.3748 2.8918 -0.3572
7.3748 1.1020 2.6974
Au Cr Br
2 1 1
Cartesian
11.0805 1.6558 0.9702 Au
0.2432 0.0363 0.0213 Au
16.9856 2.5382 1.4872 Cr
5.6619 0.8461 0.4957 Br
```

Values from the calculation:
Electronic total energy, eV/cell: -17.03
Offset from the most stable computed form, meV per atom: 145
Energy relative to the elements, uncorrected, eV/atom: 0.2053

---

DFT (PBE) results for a geometry-optimized CrAu2Br structure.

Geometry as POSCAR:
```
CrAu2Br
1.0
-4.4491 7.4484 -1.6256
-4.7592 7.2211 1.7665
-1.9519 8.5993 0.3976
Br Au Cr
1 2 1
Cartesian
-5.2991 11.0486 0.2557 Br
-0.1356 0.2827 0.0065 Au
-2.9805 6.2144 0.1438 Au
-8.3249 17.3574 0.4017 Cr
```

Values from the calculation:
Electronic total energy, eV/cell: -17.47
Offset from the most stable computed form, meV per atom: 34
Energy relative to the elements, uncorrected, eV/atom: 0.0949

---

DFT (PBE) results for a geometry-optimized Cr2AuBr structure.

Geometry as POSCAR:
```
Cr2AuBr
1.0
0.0000 3.1134 3.1134
3.1134 0.0000 3.1134
3.1134 3.1134 0.0000
Br Cr Au
1 2 1
Cartesian
0.0000 0.0000 0.0000 Br
1.5567 1.5567 1.5567 Cr
4.6701 4.6701 4.6701 Cr
3.1134 3.1134 3.1134 Au
```

Values from the calculation:
Electronic total energy, eV/cell: -20.35
Offset from the most stable computed form, meV per atom: 722
Energy relative to the elements, uncorrected, eV/atom: 0.9612

---

DFT (PBE) results for a geometry-optimized CrAu2Br structure.

Geometry as POSCAR:
```
CrAu2Br
1.0
-4.4110 -3.5039 2.9913
-0.1235 -6.2801 1.1076
3.5593 5.2835 0.3143
Cr Au Br
1 2 1
Cartesian
-1.5595 -1.5562 2.6775 Cr
0.0000 0.0000 0.0000 Au
-2.2673 -4.8920 2.0495 Au
0.5842 -2.9443 1.7357 Br
```

Values from the calculation:
Electronic total energy, eV/cell: -16.89
Offset from the most stable computed form, meV per atom: 178
Energy relative to the elements, uncorrected, eV/atom: 0.2392

---

DFT (PBE) results for a geometry-optimized CrAu4Br structure.

Geometry as POSCAR:
```
CrAu4Br
1.0
0.0000 3.9506 3.9506
3.9506 0.0000 3.9506
3.9506 3.9506 0.0000
Au Cr Br
4 1 1
Cartesian
2.9608 4.9404 4.9404 Au
4.9404 4.9404 2.9608 Au
4.9404 2.9608 4.9404 Au
2.9608 2.9608 2.9608 Au
0.0000 0.0000 0.0000 Cr
5.9259 5.9259 5.9259 Br
```

Values from the calculation:
Electronic total energy, eV/cell: -22.86
Energy relative to the elements, uncorrected, eV/atom: 0.2574

---

DFT (PBE) results for a geometry-optimized CrAuBr structure.

Geometry as POSCAR:
```
CrAuBr
1.0
4.6030 0.0000 0.0000
2.3015 3.9863 0.0000
2.3015 1.3288 3.7584
Au Br Cr
1 1 1
Cartesian
0.0000 0.0000 0.0000 Au
4.6030 2.6576 1.8792 Br
6.9045 3.9863 2.8188 Cr
```

Values from the calculation:
Electronic total energy, eV/cell: -13.76
Offset from the most stable computed form, meV per atom: 247
Energy relative to the elements, uncorrected, eV/atom: 0.2699

---

Number 1: magnetization 3.1 μB/f.u.. Number 2: magnetization 3.1 μB/f.u.. Number 3: magnetization 0.0 μB/f.u.. Number 4: magnetization 4.5 μB/f.u.. Number 5: magnetization 4.8 μB/f.u.. Number 6: magnetization 4.0 μB/f.u..